# Na3MnO3

Na3MnO3 after structural relaxation (GGA+U, Alexandria).

CIF file:
```
data_Na3MnO3
_chemical_formula_sum 'Na12 Mn4 O12'
_cell_length_a 5.902
_cell_length_b 12.488
_cell_length_c 6.366
_cell_angle_alpha 90.00
_cell_angle_beta 121.77
_cell_angle_gamma 90.00
_symmetry_space_group_name_H-M 'P 1 21/c 1'
_symmetry_Int_Tables_number 14
_symmetry_space_group_name_Hall '-P 2ybc'
loop_
_atom_site_label
_atom_site_fract_x
_atom_site_fract_y
_atom_site_fract_z
Na1 0.031 0.015 0.252
Na2 0.074 0.222 0.863
Na3 0.446 0.101 0.788
Mn1 0.399 0.659 0.170
O1 0.030 0.631 0.991
O2 0.313 0.066 0.121
O3 0.443 0.734 0.929
```

Computed properties:
- VASP energy: -145.501 eV for the cell shown
- V: 398.9 Å³ per cell